## SrBSN2 (PBE-GGA)

Data for crystalline SrBSN2 at its relaxed geometry.

abc: 4.899 4.899 5.877
angles: 90.00 90.00 90.00
Element x y z (fractional)
Sr 0.000 0.000 0.000
B 0.500 0.500 0.500
S 0.000 0.000 0.500
N 0.000 0.500 0.000
N 0.500 0.000 0.000

Results
The value obtained for the final energy is -3.505 eV/atom. The value obtained for the polymorph energy (0 for the lowest one) is 1551 meV/atom. As for the space-group type: P4/mmm, No. 123. As for the density: 1.87 g/cm³.



## Nd4Dy3ErTe8 (PBE-GGA)

Data for crystalline Nd4Dy3ErTe8 at its relaxed geometry.

abc: 8.952 8.952 8.952
angles: 58.46 58.46 58.46
Element x y z (fractional)
Nd 0.000 0.000 0.000
Nd 0.000 0.500 0.500
Nd 0.500 0.000 0.500
Nd 0.500 0.500 0.000
Dy 0.000 0.000 0.500
Dy 0.000 0.500 0.000
Dy 0.500 0.000 0.000
Er 0.500 0.500 0.500
Te 0.246 0.246 0.246
Te 0.247 0.745 0.745
Te 0.255 0.255 0.753
Te 0.255 0.753 0.255
Te 0.745 0.247 0.745
Te 0.745 0.745 0.247
Te 0.753 0.255 0.255
Te 0.754 0.754 0.754

Results
The value obtained for the final energy is -5.255 eV/atom. As for the space-group type: R-3m, No. 166. As for the density: 7.64 g/cm³.



## LiPmPuHg (PBE-GGA)

Data for crystalline LiPmPuHg at its relaxed geometry.

abc: 5.318 5.318 5.318
angles: 60.00 60.00 60.00
Element x y z (fractional)
Li 0.000 0.000 0.000
Pm 0.250 0.250 0.250
Pu 0.750 0.750 0.750
Hg 0.500 0.500 0.500

Results
The value obtained for the final energy is -5.314 eV/atom. As for the space-group type: F-43m, No. 216. Its energy relative to the elements is 0.04 eV per formula unit. As for the density: 9.31 g/cm³.



## Ce2Tm4C (PBE-GGA)

Data for crystalline Ce2Tm4C at its relaxed geometry.

abc: 9.898 9.898 9.898
angles: 152.37 152.37 39.47
Element x y z (fractional)
Ce 0.189 0.189 0.000
Ce 0.811 0.811 0.000
Tm 0.000 0.500 0.500
Tm 0.372 0.372 0.000
Tm 0.500 0.000 0.500
Tm 0.628 0.628 0.000
C 0.500 0.500 0.000

Results
The value obtained for the final energy is -5.357 eV/atom. As for the space-group type: I4/mmm, No. 139. Its energy relative to the elements is 1.48 eV per formula unit. As for the density: 7.72 g/cm³.